Compound: Be5Cu
Source: Alexandria via LeMat-Bulk
Functional: meta-GGA SCAN
Structure: single point on PBEsol structure

Cell: 4.116 4.116 3.546 Å, 90.00 90.00 120.00°
Sites, in units of the cell vectors:
Be 0.000 0.500 0.000
Be 0.333 0.667 0.500
Be 0.500 0.000 0.000
Be 0.500 0.500 0.000
Be 0.667 0.333 0.500
Cu 0.000 0.000 0.500

Total DFT energy (no corrections) in Ry/atom: -0.453
Formation energy from the elements in meV per atom: -3
M_tot in μB/atom: 0.001